A relaxed structure of Li2MnFeB2O6. Source: Alexandria via LeMat-Bulk, functional GGA+U.

a = 5.229 Å, b = 5.222 Å, c = 10.329 Å
α = 90.83°, β = 90.93°, γ = 119.60°
Each line ends with the local moment (μB).
Element x y z (fractional)
Li: 0.678 0.655 0.670  0.00
Li: 0.656 0.677 0.163  0.00
Li: 0.349 0.334 0.415  0.00
Li: 0.335 0.348 0.916  0.00
Mn: 0.667 0.010 0.884  -0.94
Mn: 0.000 0.324 0.634  4.62
Fe: 0.317 0.997 0.132  3.75
Fe: 0.003 0.676 0.383  3.76
B: 0.999 0.337 0.125  0.01
B: 0.670 0.004 0.374  0.02
B: 0.341 0.000 0.628  0.02
B: 0.001 0.667 0.878  0.00
O: 0.931 0.251 0.415  0.04
O: 0.743 0.071 0.092  0.02
O: 0.978 0.582 0.166  0.04
O: 0.420 0.026 0.344  0.04
O: 0.728 0.646 0.865  0.01
O: 0.652 0.731 0.361  0.03
O: 0.373 0.277 0.611  0.02
O: 0.273 0.359 0.113  0.03
O: 0.577 0.968 0.674  0.03
O: 0.032 0.421 0.846  0.01
O: 0.247 0.928 0.919  0.02
O: 0.071 0.751 0.595  0.04

Results
- distance to the lowest polymorph of the same formula (eV/atom) = 0.1192
- SG = No. 1
- E_tot (eV/atom) = -6.996